This record from Alexandria via LeMat-Bulk describes a relaxed Tc2MoOs crystal. The functional is PBE.

Cell: 9.245 9.245 9.245 Å, 17.08 17.08 17.08°
Sites, in units of the cell vectors:
Os (0.750, 0.750, 0.750)
Tc (0.999, 0.999, 0.999)
Mo (0.499, 0.499, 0.499)
Tc (0.253, 0.253, 0.253)

Computed properties:
volume = 59.5 Å³/cell
energy relative to the elements = 41.9 kJ/mol of formula units
symmetry = R3m (160)
energy relative to the lowest polymorph listed for this composition = 44.0 meV/atom